[1]
The following is a PBE calculation of a relaxed BaSrMn2H8 crystal, from Alexandria via LeMat-Bulk.

As for the calculated total energy: -0.304 Ry/atom.

The structure belongs to space group P-3 (No. 147); the cell edges are 5.1272, 5.1272 and 8.3792 Å and the angles 90.00°, 90.00° and 120.00°. Symmetry generates all atoms from Ba at (0.0000, 0.0000, 0.0000), Sr at (0.0000, 0.0000, 0.5000), Mn at (0.3333, 0.6667, 0.7611), H at (0.0227, 0.3246, 0.7121) and H at (0.3333, 0.6667, 0.9693).

[2]
The following is a PBE calculation of a relaxed LaReAs2 crystal, from Alexandria via LeMat-Bulk.

The energy above the lowest structure with this stoichiometry comes out at 0.000 eV per atom. The energy relative to the elements is -0.573 eV per atom.

The structure belongs to space group R-3m (No. 166, hexagonal axes); the cell edges are 4.3308, 4.3308 and 15.2154 Å and the angles 90.00°, 90.00° and 120.00°. Symmetry generates all atoms from La at (0.0000, 0.0000, 0.0000), Re at (0.0000, 0.0000, 0.5000) and As at (0.0000, 0.0000, 0.2161).

[3]
The following is a PBE calculation of a relaxed ScSe3 crystal, from Alexandria via LeMat-Bulk.

The uncorrected formation energy is -0.339 eV per atom.

The structure belongs to space group Fm-3m (No. 225); the cell edges are 6.896, 6.896 and 6.896 Å and the angles 90.00°, 90.00° and 90.00°. Symmetry generates all atoms from Sc at (0.000, 0.000, 0.000), Se at (0.000, 0.000, 0.500) and Se at (0.250, 0.250, 0.250).

[4]
The following is a PBE calculation of a relaxed LiLa2CuC crystal, from Alexandria via LeMat-Bulk.

The energy above the lowest structure with this stoichiometry comes out at 0.000 eV per atom. The energy relative to the elements is 0.049 eV per atom.

The structure belongs to space group P4/mmm (No. 123); the cell edges are 5.350, 5.350 and 3.855 Å and the angles 90.00°, 90.00° and 90.00°. Symmetry generates all atoms from Li at (0.000, 0.000, 0.000), La at (0.000, 0.500, 0.500), Cu at (0.500, 0.500, 0.000) and C at (0.500, 0.500, 0.500).

[5]
The following is a PBE calculation of a relaxed PmBiS3 crystal, from Alexandria via LeMat-Bulk.

The energy above the lowest structure with this stoichiometry comes out at 0.000 eV per atom. The uncorrected formation energy is -1.178 eV per atom.

The structure belongs to space group P2_1/m (No. 11); the cell edges are 7.988, 4.002 and 7.989 Å and the angles 90.00°, 91.39° and 90.00°. Symmetry generates all atoms from Pm at (0.221, 0.250, 0.381), Bi at (0.326, 0.250, 0.849), S at (0.020, 0.250, 0.676), S at (0.328, 0.750, 0.123) and S at (0.395, 0.750, 0.618).

[6]
The following is a PBE calculation of a relaxed YPuTl crystal, from Alexandria via LeMat-Bulk.

The energy above the lowest structure with this stoichiometry comes out at 0.010 eV per atom. The energy relative to the elements is -0.029 eV per atom.

The structure belongs to space group I4mm (No. 107); the cell edges are 3.572, 3.572 and 13.537 Å and the angles 90.00°, 90.00° and 90.00°. Symmetry generates all atoms from Y at (0.000, 0.000, 0.000), Pu at (0.000, 0.000, 0.683) and Tl at (0.000, 0.000, 0.344).

[7]
The following is a PBE calculation of a relaxed Pm12Si7Pt crystal, from Alexandria via LeMat-Bulk.

The uncorrected formation energy is -0.491 eV per atom.

The structure belongs to space group R-3 (No. 148, hexagonal axes); the cell edges are 14.5531, 14.5531 and 9.0138 Å and the angles 90.00°, 90.00° and 120.00°. Symmetry generates all atoms from Pm at (0.0314, 0.4443, 0.3140), Pm at (0.0449, 0.1747, 0.2703), Si at (0.0000, 0.0000, 0.5000), Si at (0.0467, 0.1849, 0.9305) and Pt at (0.0000, 0.0000, 0.0000).

[8]
The following is a PBE calculation of a relaxed CoRh2 crystal, from Alexandria via LeMat-Bulk.

The energy relative to the elements is 0.453 eV per atom.

The structure belongs to space group P6_3/mmc (No. 194); the cell edges are 5.0465, 5.0465 and 8.1573 Å and the angles 90.00°, 90.00° and 120.00°. Symmetry generates all atoms from Co at (0.3333, 0.6667, 0.0972), Rh at (0.0000, 0.0000, 0.0000) and Rh at (0.1716, 0.3431, 0.7500).

[9]
The following is a PBE calculation of a relaxed Tb2SmErTm5 crystal, from Alexandria via LeMat-Bulk.

The energy relative to the elements is 0.291 eV per atom.

The structure belongs to space group I4/mcm (No. 140); the cell edges are 8.783, 8.783 and 14.699 Å and the angles 90.00°, 90.00° and 90.00°. Symmetry generates all atoms from Tb at (0.114, 0.386, 0.000), Sm at (0.000, 0.000, 0.250), Er at (0.000, 0.500, 0.250), Tm at (0.000, 0.000, 0.000) and Tm at (0.207, 0.293, 0.366).

[10]
The following is a PBE calculation of a relaxed Tm4CuPd crystal, from Alexandria via LeMat-Bulk.

The energy relative to the elements is -0.165 eV per atom.

The structure belongs to space group I4_1md (No. 109); the cell edges are 9.409, 9.409 and 7.777 Å and the angles 90.00°, 90.00° and 90.00°. Symmetry generates all atoms from Tm at (0.000, 0.289, 0.000), Tm at (0.000, 0.295, 0.497), Cu at (0.000, 0.000, 0.994) and Pd at (0.000, 0.000, 0.503).

no.,M_tot (μB per atom)
1,0.8333
2,0.0002
3,0.0001
4,0.0004
5,0.0000
6,2.1579
7,0.0000
8,1.0060
9,0.0000
10,0.0013